No. 1
Entry from Alexandria via LeMat-Bulk: crystalline CaPm3Pu2Te6 at its relaxed geometry (PBE).

extended XYZ file:
```
12
Lattice="4.4430 0.0000 0.0000 0.0000 8.9516 0.2889 -2.2215 -2.6102 9.3890" Properties=species:S:1:pos:R:3 pbc="T T T"
Ca 2.2215 0.0000 0.0000
Pm 2.2215 4.4758 0.1444
Pm 2.2215 -0.2152 6.3013
Pm 0.0000 6.5565 3.3766
Pu 2.2215 4.2250 6.4370
Pu 0.0000 2.1164 3.2409
Te 0.0000 6.4619 6.5439
Te 2.2215 4.3146 3.3047
Te 2.2215 -0.1205 3.1339
Te 0.0000 2.2143 0.0818
Te 2.2215 4.1270 9.5960
Te 0.0000 2.0268 6.3731
```

Properties
- DFT total energy (eV per atom) = -6.659
- E_form (uncorrected) (kJ/mol of atoms) = -129.8

No. 2
Entry from Alexandria via LeMat-Bulk: crystalline Rb3CaPm2S6 at its relaxed geometry (PBE).

extended XYZ file:
```
12
Lattice="7.2699 -0.0010 0.0010 -3.6340 6.2965 0.0010 -1.2116 -2.0979 7.7022" Properties=species:S:1:pos:R:3 pbc="T T T"
Rb -2.4442 4.2105 3.8521
Rb 4.8685 -0.0128 3.8521
Rb 1.2121 2.0988 3.8521
Ca 0.0000 0.0000 0.0000
Pm -0.0005 4.1980 0.0010
Pm 3.6364 2.0975 0.0010
S 3.6559 2.0638 6.1866
S 2.4042 4.1629 1.5135
S -1.2316 2.1338 1.5175
S -0.0394 4.1980 6.1866
S 0.0201 0.0347 6.1907
S 2.4637 -0.0004 1.5175
```

Properties
- DFT total energy (eV per atom) = -4.910
- E_form (uncorrected) (kJ/mol of atoms) = -158.8

No. 3
Entry from Alexandria via LeMat-Bulk: crystalline Rb3CaPm2Se6 at its relaxed geometry (PBE).

extended XYZ file:
```
12
Lattice="7.5286 -0.0008 0.0007 -3.7631 6.5206 0.0007 -1.2551 -2.1732 8.0392" Properties=species:S:1:pos:R:3 pbc="T T T"
Rb -2.5264 4.3573 4.0203
Rb 5.0367 -0.0107 4.0203
Rb 1.2552 2.1733 4.0203
Ca 0.0000 0.0000 0.0000
Pm -0.0006 4.3476 0.0007
Pm 3.7660 2.1723 0.0007
Se 3.7836 2.1405 6.4293
Se 2.4920 4.3148 1.6075
Se -1.2732 2.2062 1.6112
Se -0.0368 4.3469 6.4293
Se 0.0184 0.0318 6.4330
Se 2.5472 -0.0003 1.6112
```

Properties
- DFT total energy (eV per atom) = -4.530
- E_form (uncorrected) (kJ/mol of atoms) = -153.1

No. 4
Entry from Alexandria via LeMat-Bulk: crystalline RbCa3Pm2Te6 at its relaxed geometry (PBE).

extended XYZ file:
```
12
Lattice="-1.4878 -1.6101 -3.9688 5.5015 -7.4688 0.9675 -7.7019 -2.1223 6.3382" Properties=species:S:1:pos:R:3 pbc="T T T"
Rb -0.7439 -0.8050 -1.9844
Ca 2.0068 -4.5394 -1.5006
Ca -5.5600 -4.0233 1.1267
Ca 1.8717 -7.1779 2.2103
Pm -2.7330 -7.7173 1.5655
Pm -0.9553 -3.4839 1.7715
Te -0.4785 -8.6415 3.6851
Te -0.3690 -6.1592 0.0472
Te -3.2098 -2.5597 -0.3481
Te 1.4525 -2.0797 0.2992
Te -5.1407 -9.1216 3.0378
Te -3.3192 -5.0421 3.2898
```

Properties
- DFT total energy (eV per atom) = -4.407
- E_form (uncorrected) (kJ/mol of atoms) = -141.2

No. 5
Entry from Alexandria via LeMat-Bulk: crystalline CaPmRe4 at its relaxed geometry (PBE).

extended XYZ file:
```
6
Lattice="5.4534 0.0000 0.0000 2.7267 4.7228 0.0000 2.7267 1.5743 4.4527" Properties=species:S:1:pos:R:3 pbc="T T T"
Re 5.4534 3.1485 0.5559
Re 5.4534 1.5736 2.7831
Re 6.8172 3.9359 2.7831
Re 4.0895 3.9359 2.7831
Ca 0.0000 0.0000 0.0000
Pm 2.7267 1.5743 1.1132
```

Properties
- formation energy from the elements (eV per formula unit) = 0.54
- DFT total energy (eV per atom) = -9.333

No. 6
Entry from Alexandria via LeMat-Bulk: crystalline CaPm5Rh4 at its relaxed geometry (PBE).

extended XYZ file:
```
10
Lattice="4.7496 0.0000 -1.5076 -0.0899 6.9721 -0.2833 -0.1538 -0.1453 7.7507" Properties=species:S:1:pos:R:3 pbc="T T T"
Ca 2.3748 0.0000 -0.7538
Pm 0.7133 0.0930 2.2471
Pm 0.7021 3.5970 2.2119
Pm 3.8037 3.2299 3.7478
Pm 2.3298 3.4861 -0.8955
Pm 3.7925 6.7339 3.7127
Rh 3.0578 5.1871 1.3978
Rh -0.0078 1.8454 -0.0246
Rh 1.4480 1.6398 4.5619
Rh 4.5136 4.9814 5.9844
```

Properties
- formation energy from the elements (eV per formula unit) = -5.53
- DFT total energy (eV per atom) = -6.069

The evaluated V for the records listed, in turn: 377 353 395 410 115 255 Å³ per cell.